Computed, not measured: a geometry-optimized RbCrFeO4 structure at the PBE+U level of DFT.

Cell and atoms, written as POSCAR:
```
RbCrFeO4
1.0
-1.968 2.852 -4.304
0.558 -4.327 -3.123
-4.971 -4.346 5.133
Cr O Fe Rb
2 8 2 2
Cartesian
-2.900 -2.896 1.190
-3.480 -2.924 -3.483
-3.668 -4.050 -1.957
-4.787 -2.839 0.774
-3.326 -0.999 -3.967
-1.593 -2.981 -3.067
-3.315 -2.797 3.135
-3.054 -4.822 1.674
-3.065 -3.023 -5.429
-2.712 -1.770 -0.336
-1.833 -4.097 -1.564
-4.547 -1.723 -0.730
-5.239 -5.517 -0.205
-1.141 -0.303 -2.088
```

Values from the calculation:
- Total magnetic moment: 5.0 μB/f.u.
- VASP energy: -6.176 eV per atom
- Crystal system: monoclinic
- DOS at the Fermi energy: 0.000 states/eV per cell